{"formula": "SmHo3Ga2", "functional": "PBE", "state": "optimized geometry", "relative_energy_kj_per_mol_atoms": 0.0, "spacegroup": "Pmc2_1", "delta_e_f_ev_per_fu": -2.5, "lattice_angstrom": [[-3.674, 3.291, -0.290], [-3.586, -3.635, 4.190], [3.708, 4.784, 7.324]], "species": ["Ga", "Ga", "Ga", "Ga", "Ho", "Ho", "Ho", "Ho", "Ho", "Ho", "Sm", "Sm"], "fractional_positions": [[0.000, 0.287, 0.641], [0.500, 0.211, 0.138], [0.000, 0.787, 0.359], [0.500, 0.711, 0.862], [0.000, 0.464, 0.947], [0.000, 0.830, 0.685], [0.500, 0.170, 0.824], [0.000, 0.964, 0.053], [0.500, 0.670, 0.176], [0.000, 0.330, 0.315], [0.500, 0.039, 0.451], [0.500, 0.539, 0.549]]}